[1]
This record from Alexandria describes ScSbPd6 after structural relaxation. The functional is PBE.

```
ScSbPd6
1.0
4.0532 0.0000 0.0000
0.0000 5.6757 -0.0383
0.0000 0.0339 5.6757
Sc Sb Pd
1 1 6
Direct
0.5000 0.0000 0.0000
0.5000 0.5000 0.5000
0.0000 0.7534 0.2466
0.0000 0.2466 0.7534
0.0000 0.7532 0.7532
0.0000 0.2468 0.2468
0.5000 0.5000 0.0000
0.5000 0.0000 0.5000
```

Energy above the lowest structure with this stoichiometry, meV per atom: 0.0



[2]
This record from Alexandria describes ScSbPd2 after structural relaxation. The functional is PBE.

```
ScSbPd2
1.0
3.5090 0.0000 0.0000
0.0000 3.5090 0.0000
0.0000 0.0000 6.0799
Sc Sb Pd
1 1 2
Direct
0.5000 0.5000 0.5000
0.5000 0.5000 0.0000
0.0000 0.0000 0.7346
0.0000 0.0000 0.2654
```



[3]
This record from Alexandria describes Sc8SbPd2 after structural relaxation. The functional is PBE.

```
Sc8SbPd2
1.0
5.0238 -0.1543 -0.2316
-1.0600 7.5657 -0.3737
-1.0600 -3.2588 6.8381
Sc Sb Pd
8 1 2
Direct
0.9128 0.9088 0.6715
0.9128 0.6715 0.9088
0.3012 0.5971 0.5971
0.5000 0.7634 0.2366
0.5000 0.2366 0.7634
0.6988 0.4029 0.4029
0.0872 0.3285 0.0912
0.0872 0.0912 0.3285
0.5000 0.0000 0.0000
0.0000 0.3002 0.6998
0.0000 0.6998 0.3002
```



[4]
This record from Alexandria describes ScSb2Pd after structural relaxation. The functional is PBE.

```
ScSb2Pd
1.0
0.0000 3.5104 3.5104
3.5104 0.0000 3.5104
3.5104 3.5104 0.0000
Sc Sb Pd
1 2 1
Direct
0.0000 0.0000 0.0000
0.2500 0.2500 0.2500
0.7500 0.7500 0.7500
0.5000 0.5000 0.5000
```



[5]
This record from Alexandria describes ScSb2Pd after structural relaxation. The functional is PBE.

```
ScSb2Pd
1.0
3.3770 0.0000 0.0000
1.6885 2.9246 0.0000
1.6885 0.9749 9.7969
Sc Sb Pd
1 2 1
Direct
0.0000 0.0000 0.0000
0.0988 0.0988 0.7037
0.9012 0.9012 0.2963
0.5000 0.5000 0.5000
```



[6]
This record from Alexandria describes Sc3Sb2Pd8 after structural relaxation. The functional is PBE.

```
Sc3Sb2Pd8
1.0
5.3847 0.0000 0.0000
2.6923 4.6633 0.0000
2.6923 1.5544 9.7440
Sc Sb Pd
3 2 8
Direct
0.0000 0.0000 0.0000
0.8096 0.8096 0.5713
0.1904 0.1904 0.4287
0.6299 0.6299 0.1102
0.3701 0.3701 0.8898
0.7196 0.7196 0.8413
0.2804 0.2804 0.1587
0.2190 0.7249 0.3313
0.7249 0.2190 0.3313
0.7249 0.7249 0.3313
0.2751 0.7810 0.6687
0.7810 0.2751 0.6687
0.2751 0.2751 0.6687
```



[7]
This record from Alexandria describes ScSbPd2 after structural relaxation. The functional is PBE.

```
ScSbPd2
1.0
-3.2830 -2.0653 1.1527
1.9517 -3.6427 -0.9680
1.5318 -0.2294 3.9517
Sc Sb Pd
1 1 2
Direct
0.5000 0.0000 0.0000
0.5000 0.5000 0.5000
0.0000 0.0000 0.5000
0.0000 0.5000 0.0000
```



[8]
This record from Alexandria describes Sc2SbPd8 after structural relaxation. The functional is PBE.

```
Sc2SbPd8
1.0
4.5996 0.0000 0.0000
0.0000 5.8450 -0.1772
-2.2998 -2.6975 7.1361
Sc Sb Pd
2 1 8
Direct
0.8100 0.3103 0.6201
0.1900 0.6897 0.3799
0.5000 0.0000 0.0000
0.3564 0.5917 0.7128
0.6442 0.8805 0.2883
0.8174 0.8168 0.6347
0.9997 0.2582 0.9994
0.1826 0.1832 0.3653
0.3558 0.1195 0.7117
0.6436 0.4083 0.2872
0.0003 0.7418 0.0006
```



[9]
This record from Alexandria describes ScSbPd after structural relaxation. The functional is PBE.

```
ScSbPd
1.0
3.8405 0.0000 0.0000
0.0000 3.8405 0.0000
-1.9202 -1.9202 4.2155
Sc Sb Pd
1 1 1
Direct
0.2859 0.2859 0.5719
0.6197 0.6197 0.2394
0.9444 0.9444 0.8887
```



[10]
This record from Alexandria describes ScSb3Pd6 after structural relaxation. The functional is PBE.

```
ScSb3Pd6
1.0
-2.5948 -2.1632 -2.7698
7.2611 -1.3697 -5.7325
-3.1689 -7.1136 8.5241
Sc Sb Pd
2 6 12
Direct
0.7500 0.1010 0.7195
0.2500 0.8990 0.2805
0.7500 0.5219 0.8355
0.2500 0.4781 0.1645
0.7500 0.7136 0.5192
0.2500 0.2864 0.4808
0.7500 0.1639 0.0846
0.2500 0.8361 0.9154
0.7500 0.4895 0.5927
0.2500 0.5105 0.4073
0.7500 0.8593 0.1076
0.2500 0.1407 0.8924
0.7500 0.3934 0.9949
0.2500 0.6066 0.0051
0.7500 0.7227 0.2882
0.2500 0.2773 0.7118
0.7500 0.0986 0.4836
0.2500 0.9014 0.5164
0.7500 0.8833 0.8049
0.2500 0.1167 0.1951
```



[11]
This record from Alexandria describes ScSb2Pd after structural relaxation. The functional is PBE.

```
ScSb2Pd
1.0
3.8405 0.0000 0.0000
0.0000 4.6854 0.0000
0.0000 0.0000 4.6854
Sc Sb Pd
1 2 1
Direct
0.5000 0.5000 0.5000
0.0000 0.0000 0.5000
0.0000 0.5000 0.0000
0.5000 0.0000 0.0000
```



[12]
This record from Alexandria describes ScSb2Pd after structural relaxation. The functional is PBE.

```
ScSb2Pd
1.0
-0.6506 1.9297 -4.1312
-3.7503 -2.6000 -0.6239
-7.3639 6.1868 1.4821
Sc Sb Pd
2 4 2
Direct
0.5000 0.5000 0.0000
0.2500 0.7500 0.5000
0.6495 0.1250 0.2500
0.1005 0.6250 0.2500
0.3750 0.3505 0.7500
0.8750 0.8995 0.7500
0.0000 0.0000 0.0000
0.7500 0.2500 0.5000
```



no.,formation energy from raw total energies (eV per atom)
1,-0.6211
2,-0.7101
3,-0.4164
4,-0.3739
5,-0.1112
6,-0.5262
7,-0.7591
8,-0.6483
9,-0.6423
10,-0.4845
11,-0.5646
12,-0.3925